[1]
Here is Li3SbPt after structural relaxation from Alexandria. Energies are from GGA-PBEsol.

abc: 4.8257 4.8257 4.8257
angles: 90.00 90.00 90.00
With the nearest neighbours (Å) after each atom.
Space group Pm-3m (No. 221)
Symmetry-distinct sites (fractional):
Li: 0.0000 0.0000 0.5000  2 Sb 2.41
Sb: 0.0000 0.0000 0.0000  6 Li 2.41
Pt: 0.5000 0.5000 0.5000  12 Li 3.41

Properties
Volume   112 Å³/cell
Energy relative to the elements, uncorrected   458.5 meV/atom
Raw total energy   -15.13 eV per formula unit
DOS(E_F)   4.6 states/eV/f.u.

[2]
Here is Zn2CuPt after structural relaxation from Alexandria. Energies are from GGA-PBEsol.

abc: 2.7590 3.5662 5.3925
angles: 90.00 90.00 90.00
With the nearest neighbours (Å) after each atom.
Space group Pmmm (No. 47)
Symmetry-distinct sites (fractional):
Zn: 0.0000 0.0000 0.2429  4 Cu 2.61, 4 Zn 2.62-2.77, 4 Pt 2.65
Cu: 0.5000 0.5000 0.0000  8 Zn 2.61, 2 Pt 2.70, 2 Cu 2.76
Pt: 0.5000 0.5000 0.5000  8 Zn 2.65, 2 Cu 2.70, 2 Pt 2.76

Properties
Volume   53 Å³/cell
Formation energy   -328 meV per atom
Raw total energy   -15.77 eV per formula unit
DOS(E_F)   1.4 states/eV/f.u.

[3]
Here is NaTmPd6O8 after structural relaxation from Alexandria. Energies are from GGA-PBEsol.

abc: 5.7098 5.7098 5.7098
angles: 90.00 90.00 90.00
With the nearest neighbours (Å) after each atom.
Space group Pm-3 (No. 200)
Symmetry-distinct sites (fractional):
Na: 0.0000 0.0000 0.0000  8 O 2.58
Tm: 0.5000 0.5000 0.5000  8 O 2.36
Pd: 0.0000 0.2505 0.5000  4 O 2.02
O: 0.2611 0.2611 0.2611  3 Pd 2.02

Properties
Volume   186 Å³/cell
Energy relative to the elements, uncorrected   -1161.9 meV/atom
Raw total energy   -102.64 eV per formula unit
DOS(E_F)   2.5 states/eV/f.u.

[4]
Here is CeAgP2Se6 after structural relaxation from Alexandria. Energies are from GGA-PBEsol.

abc: 6.4807 7.3014 11.6310
angles: 90.00 122.73 90.00
With the nearest neighbours (Å) after each atom.
Space group Pc (No. 7)
Symmetry-distinct sites (fractional):
Ce: 0.0000 0.1270 0.0000  8 Se 2.99-3.29
Ag: 0.3875 0.3282 0.5112  5 Se 2.74-2.88
P: 0.0694 0.3704 0.6914  3 Se 2.19-2.22, 1 P 2.23
P: 0.3337 0.1482 0.8153  3 Se 2.20-2.22, 1 P 2.23
Se: 0.0966 0.0765 0.3063  1 P 2.21
Se: 0.3164 0.4407 0.1757  1 P 2.19
Se: 0.5104 0.0506 0.7083  1 P 2.22
Se: 0.5852 0.2668 0.0187  1 P 2.20
Se: 0.7827 0.2433 0.4950  1 P 2.22
Se: 0.9467 0.4736 0.8217  1 P 2.19

Properties
Volume   463 Å³/cell
Energy relative to the elements, uncorrected   -479.1 meV/atom
Raw total energy   -49.38 eV per formula unit
DOS(E_F)   8.4 states/eV/f.u.

[5]
Here is Co2RhI after structural relaxation from Alexandria. Energies are from GGA-PBEsol.

abc: 6.0526 6.0526 6.0526
angles: 90.00 90.00 90.00
With the nearest neighbours (Å) after each atom.
Space group Fm-3m (No. 225)
Symmetry-distinct sites (fractional):
Co: 0.2500 0.2500 0.2500  4 Rh 2.62, 4 I 2.62
Rh: 0.0000 0.0000 0.0000  8 Co 2.62
I: 0.0000 0.0000 0.5000  8 Co 2.62

Properties
Volume   222 Å³/cell
Energy relative to the elements, uncorrected   714.0 meV/atom
Raw total energy   -22.52 eV per formula unit
DOS(E_F)   8.8 states/eV/f.u.

[6]
Here is BaCuSi2 after structural relaxation from Alexandria. Energies are from GGA-PBEsol.

abc: 4.6109 3.9091 5.3345
angles: 90.00 96.89 90.00
With the nearest neighbours (Å) after each atom.
Space group Pm (No. 6)
Symmetry-distinct sites (fractional):
Ba: 0.0000 0.0000 0.0000  5 Si 3.21-3.47, 4 Cu 3.28-3.51
Cu: 0.8308 0.5000 0.5101  4 Si 2.31-2.41
Si: 0.3327 0.5000 0.6021  2 Cu 2.31-2.41, 2 Si 2.42
Si: 0.5475 0.0000 0.4320  2 Cu 2.36, 2 Si 2.42

Properties
Volume   95 Å³/cell
Energy relative to the elements, uncorrected   -138.3 meV/atom
Raw total energy   -18.53 eV per formula unit
DOS(E_F)   1.3 states/eV/f.u.

[7]
Here is Zn2RuSF after structural relaxation from Alexandria. Energies are from GGA-PBEsol.

abc: 3.8687 3.8687 4.9059
angles: 90.00 90.00 90.00
With the nearest neighbours (Å) after each atom.
Space group P4/mmm (No. 123)
Symmetry-distinct sites (fractional):
Zn: 0.0000 0.5000 0.0000  2 F 1.93
Ru: 0.0000 0.0000 0.5000  4 S 2.74
S: 0.5000 0.5000 0.5000  2 F 2.45, 4 Ru 2.74
F: 0.5000 0.5000 0.0000  4 Zn 1.93

Properties
Volume   73 Å³/cell
Energy relative to the elements, uncorrected   318.4 meV/atom
Raw total energy   -18.06 eV per formula unit
DOS(E_F)   4.5 states/eV/f.u.

[8]
Here is ZnBr2 after structural relaxation from Alexandria. Energies are from GGA-PBEsol.

abc: 9.8712 3.6084 9.9834
angles: 90.00 90.00 90.00
With the nearest neighbours (Å) after each atom.
Space group Pnma (No. 62)
Symmetry-distinct sites (fractional):
Zn: 0.1521 0.2500 0.0197  5 Br 2.45-2.67
Br: 0.0158 0.7500 0.1639  3 Zn 2.47-2.67
Br: 0.1850 0.2500 0.4791  2 Zn 2.45

Properties
Volume   356 Å³/cell
Energy relative to the elements, uncorrected   -757.2 meV/atom
Raw total energy   -7.59 eV per formula unit
DOS(E_F)   0.0 states/eV/f.u.

> Which of these has the lowest raw total energy?

NaTmPd6O8

> Among the records above, which one has the highest DOS(E_F)?

Co2RhI